1.
A geometry-optimized Pr12Ga6Cu structure, computed with PBE.

Unit cell a=8.8674 b=8.8674 c=8.8674 alpha=106.52 beta=106.52 gamma=106.52
Last column: nearest neighbours and their distance in Å.
Element x y z (fractional)
Pr 0.5156 0.8850 0.6313  3 Ga 3.03-3.15
Pr 0.0422 0.9094 0.3137  3 Ga 3.00-3.27, 1 Cu 3.06
Pr 0.9094 0.3137 0.0422  3 Ga 3.00-3.27, 1 Cu 3.06
Pr 0.8850 0.6313 0.5156  3 Ga 3.03-3.15
Pr 0.4844 0.1150 0.3687  3 Ga 3.03-3.15
Pr 0.9578 0.0906 0.6863  3 Ga 3.00-3.27, 1 Cu 3.06
Pr 0.3137 0.0422 0.9094  3 Ga 3.00-3.27, 1 Cu 3.06
Pr 0.1150 0.3687 0.4844  3 Ga 3.03-3.15
Pr 0.6313 0.5156 0.8850  3 Ga 3.03-3.15
Pr 0.3687 0.4844 0.1150  3 Ga 3.03-3.15
Pr 0.6863 0.9578 0.0906  3 Ga 3.00-3.27, 1 Cu 3.06
Pr 0.0906 0.6863 0.9578  3 Ga 3.00-3.27, 1 Cu 3.06
Ga 0.6412 0.3218 0.1867  6 Pr 3.00-3.27
Ga 0.1867 0.6412 0.3218  6 Pr 3.00-3.27
Ga 0.6782 0.8133 0.3588  6 Pr 3.00-3.27
Ga 0.3218 0.1867 0.6412  6 Pr 3.00-3.27
Ga 0.3588 0.6782 0.8133  6 Pr 3.00-3.27
Ga 0.8133 0.3588 0.6782  6 Pr 3.00-3.27
Cu 0.0000 0.0000 0.0000  6 Pr 3.06

Output
Space group   No. 148
M_tot   0.00 Bohr magnetons per cell
ΔH_f (0 K)   -0.17 eV/atom
Final energy   -82.833 eV for the cell shown

2.
A geometry-optimized PrGaCu4 structure, computed with PBE.

Unit cell a=4.7504 b=6.8170 c=6.8641 alpha=90.00 beta=110.24 gamma=90.00
Last column: nearest neighbours and their distance in Å.
Element x y z (fractional)
Cu 0.2109 0.4311 0.4217  1 Ga 2.40, 2 Cu 2.46-2.47
Cu 0.3756 0.2500 0.7512  2 Ga 2.38, 2 Cu 2.46
Cu 0.6244 0.7500 0.2488  2 Ga 2.38, 2 Cu 2.46
Cu 0.0000 0.5000 0.0000  2 Ga 2.41
Cu 0.2109 0.0689 0.4217  1 Ga 2.40, 2 Cu 2.46-2.47
Cu 0.0000 0.0000 0.0000  2 Ga 2.41
Cu 0.7891 0.5689 0.5783  1 Ga 2.40, 2 Cu 2.46-2.47
Cu 0.7891 0.9311 0.5783  1 Ga 2.40, 2 Cu 2.46-2.47
Ga 0.1327 0.7500 0.2654  6 Cu 2.38-2.41
Ga 0.8673 0.2500 0.7346  6 Cu 2.38-2.41
Pr 0.3939 0.7500 0.7879  11 Cu 2.97-3.23
Pr 0.6061 0.2500 0.2121  11 Cu 2.97-3.23

Output
Space group   No. 63
M_tot   0.00 Bohr magnetons per cell
ΔH_f (0 K)   -0.04 eV/atom
Final energy   -48.875 eV for the cell shown

3.
A geometry-optimized Pr3Ga2Cu3 structure, computed with PBE.

Unit cell a=4.4483 b=5.7946 c=14.7328 alpha=90.00 beta=90.00 gamma=112.57
Last column: nearest neighbours and their distance in Å.
Element x y z (fractional)
Pr 0.5979 0.1958 0.2500  5 Cu 3.09-3.17, 4 Ga 3.32
Pr 0.4021 0.8042 0.7500  5 Cu 3.09-3.17, 4 Ga 3.32
Pr 0.8979 0.7958 0.1026  7 Cu 3.06-3.31, 4 Ga 3.10-3.19
Pr 0.8979 0.7958 0.3974  7 Cu 3.06-3.31, 4 Ga 3.10-3.19
Pr 0.1021 0.2042 0.6026  7 Cu 3.06-3.31, 4 Ga 3.10-3.19
Pr 0.1021 0.2042 0.8974  7 Cu 3.06-3.31, 4 Ga 3.10-3.19
Cu 0.6101 0.2201 0.0403  2 Ga 2.56, 1 Cu 2.64
Cu 0.6101 0.2201 0.4597  2 Ga 2.56, 1 Cu 2.64
Cu 0.3083 0.6166 0.2500  2 Ga 2.53
Cu 0.6917 0.3834 0.7500  2 Ga 2.53
Cu 0.3899 0.7799 0.9597  2 Ga 2.56, 1 Cu 2.64
Cu 0.3899 0.7799 0.5403  2 Ga 2.56, 1 Cu 2.64
Ga 0.8041 0.6082 0.5990  3 Cu 2.53-2.56
Ga 0.1959 0.3918 0.0990  3 Cu 2.53-2.56
Ga 0.1959 0.3918 0.4010  3 Cu 2.53-2.56
Ga 0.8041 0.6082 0.9010  3 Cu 2.53-2.56

Output
Space group   No. 63
M_tot   0.00 Bohr magnetons per cell
ΔH_f (0 K)   -0.36 eV/atom
Final energy   -71.106 eV for the cell shown

4.
A geometry-optimized Pr4GaCu structure, computed with PBE.

Unit cell a=6.5656 b=6.9539 c=8.2917 alpha=90.00 beta=108.46 gamma=90.00
Last column: nearest neighbours and their distance in Å.
Element x y z (fractional)
Pr 0.9913 0.0012 0.2599  2 Cu 2.96-2.98, 2 Ga 3.11-3.14
Pr 0.5769 0.2500 0.4091  1 Cu 2.94, 1 Ga 3.08
Pr 0.4153 0.7500 0.1168  1 Cu 3.01, 1 Ga 3.12
Pr 0.0087 0.9988 0.7401  2 Cu 2.96-2.98, 2 Ga 3.11-3.14
Pr 0.4231 0.7500 0.5909  1 Cu 2.94, 1 Ga 3.08
Pr 0.0087 0.5012 0.7401  2 Cu 2.96-2.98, 2 Ga 3.11-3.14
Pr 0.5847 0.2500 0.8832  1 Cu 3.01, 1 Ga 3.12
Pr 0.9913 0.4988 0.2599  2 Cu 2.96-2.98, 2 Ga 3.11-3.14
Cu 0.2212 0.2500 0.5532  6 Pr 2.94-3.01
Cu 0.7788 0.7500 0.4468  6 Pr 2.94-3.01
Ga 0.7716 0.7500 0.9417  6 Pr 3.08-3.14
Ga 0.2284 0.2500 0.0583  6 Pr 3.08-3.14

Output
Excess energy over the best structure of this formula in the dataset   0.0059 eV/atom
Space group   No. 11
M_tot   0.00 Bohr magnetons per cell
ΔH_f (0 K)   -0.18 eV/atom
Final energy   -54.634 eV for the cell shown

Calculated volume, respectively: 588.2 208.6 350.7 359.1 Å³ per cell.